1.
Here is a crystal of TiHgIN2 relaxed with PBEsol from the Alexandria database. Energies are from meta-GGA SCAN.

Uncorrected formation energy: 0.370 eV per atom
Total magnetization: 0.000 μB/atom

a = 3.9810 Å, b = 3.9810 Å, c = 5.8178 Å
α = 90.00°, β = 90.00°, γ = 90.00°
Space group P4/mmm (No. 123)
Unique sites:
Ti 0.0000 0.0000 0.0000
Hg 0.5000 0.5000 0.5000
I 0.0000 0.0000 0.5000
N 0.0000 0.5000 0.0000

2.
Here is a crystal of Bi2PCl relaxed with PBEsol from the Alexandria database. Energies are from meta-GGA SCAN.

Uncorrected formation energy: -0.029 eV per atom
Energy above the most stable polymorph in this dataset: 0.0 meV/atom
Total magnetization: 0.000 μB/atom

a = 7.8085 Å, b = 7.8085 Å, c = 6.8710 Å
α = 90.00°, β = 90.00°, γ = 90.00°
Space group I-42d (No. 122)
Unique sites:
Bi 0.2173 0.2500 0.1250
P 0.0000 0.0000 0.0000
Cl 0.0000 0.0000 0.5000

3.
Here is a crystal of SrCdPt2 relaxed with PBEsol from the Alexandria database. Energies are from meta-GGA SCAN.

Total magnetization: 0.000 μB/atom
ΔE_f: -302 meV/atom

a = 2.9710 Å, b = 4.4656 Å, c = 5.8784 Å
α = 90.00°, β = 90.00°, γ = 90.00°
Space group Pmm2 (No. 25)
Unique sites:
Sr 0.0000 0.0000 0.0000
Cd 0.5000 0.5000 0.3233
Pt 0.0000 0.0000 0.5026
Pt 0.5000 0.5000 0.7814

4.
Here is a crystal of HgMoAu2 relaxed with PBEsol from the Alexandria database. Energies are from meta-GGA SCAN.

Total magnetization: 0.194 μB/atom
ΔE_f: 389 meV/atom

a = 5.1448 Å, b = 2.7307 Å, c = 5.2347 Å
α = 90.00°, β = 110.03°, γ = 90.00°
Space group P2/m (No. 10)
Unique sites:
Hg 0.0000 0.0000 0.0000
Mo 0.5000 0.5000 0.0000
Au 0.0000 0.5000 0.5000
Au 0.5000 0.0000 0.5000

5.
Here is a crystal of LaRh2W relaxed with PBEsol from the Alexandria database. Energies are from meta-GGA SCAN.

Energy above the most stable polymorph in this dataset: 0.0 meV/atom
Total magnetization: 0.000 μB/atom
ΔE_f: -174 meV/atom

a = 2.9690 Å, b = 2.9690 Å, c = 7.9007 Å
α = 90.00°, β = 90.00°, γ = 90.00°
Space group P4/mmm (No. 123)
Unique sites:
La 0.0000 0.0000 0.0000
Rh 0.5000 0.5000 0.2924
W 0.0000 0.0000 0.5000

6.
Here is a crystal of Li2HgPt relaxed with PBEsol from the Alexandria database. Energies are from meta-GGA SCAN.

Total magnetization: 0.000 μB/atom
ΔE_f: -517 meV/atom

a = 3.9055 Å, b = 3.9055 Å, c = 7.9780 Å
α = 90.00°, β = 90.00°, γ = 90.00°
Space group I-4m2 (No. 119)
Unique sites:
Li 0.0000 0.0000 0.0000
Li 0.0000 0.5000 0.2500
Hg 0.0000 0.5000 0.7500
Pt 0.0000 0.0000 0.5000

Q: total magnetization of number 6 (Li2HgPt)?
A: 0.000 μB/atom

Q: The highest total magnetization belongs to which entry?
A: HgMoAu2

Q: The highest total magnetization belongs to which entry?
A: HgMoAu2